# 1
The following is a DFT calculation (GGA-PBE) of a relaxed structure of MnVCoRh.

Cell: 5.933 5.933 5.933 Å, 90.00 90.00 90.00°
Space group F-43m (No. 216)
Unique sites:
1 Mn 0.000 0.000 0.000 x4
2 V 0.000 0.000 0.500 x4
3 Co 0.250 0.250 0.750 x4
4 Rh 0.250 0.250 0.250 x4

## Properties
ΔE_f: -136 meV per atom

# 2
The following is a DFT calculation (GGA-PBE) of a relaxed structure of AcEu2Cd.

Cell: 8.303 8.303 8.303 Å, 90.00 90.00 90.00°
Space group Fm-3m (No. 225)
Unique sites:
1 Ac 0.000 0.000 0.000 x4
2 Eu 0.250 0.250 0.250 x8
3 Cd 0.000 0.000 0.500 x4

## Properties
Excess energy over the best structure of this formula in the dataset: 166.3 meV per atom
ΔE_f: 21 meV per atom

# 3
The following is a DFT calculation (GGA-PBE) of a relaxed structure of CrBTe2.

Cell: 4.3986 4.3986 20.7679 Å, 90.00 90.00 120.00°
Space group R-3m (No. 166, hexagonal axes)
Unique sites:
1 Cr 0.0000 0.0000 0.0000 x3
2 B 0.0000 0.0000 0.5000 x3
3 Te 0.0000 0.0000 0.4005 x6

## Properties
Formation energy from raw total energies: 648 meV per atom

# 4
The following is a DFT calculation (GGA-PBE) of a relaxed structure of CaTb2In2.

Cell: 9.324 5.368 6.540 Å, 90.00 118.62 90.00°
Space group C2/m (No. 12)
Unique sites:
1 Ca 0.000 0.000 0.000 x2
2 Tb 0.220 0.000 0.661 x4
3 In 0.084 0.500 0.757 x4

## Properties
Excess energy over the best structure of this formula in the dataset: 0.0 meV per atom
ΔE_f: -382 meV per atom

# 5
The following is a DFT calculation (GGA-PBE) of a relaxed structure of NaSr4HgPb2.

Cell: 5.8179 5.8179 28.5259 Å, 90.00 90.00 120.00°
Space group R-3m (No. 166, hexagonal axes)
Unique sites:
1 Na 0.0000 0.0000 0.0000 x3
2 Sr 0.0000 0.0000 0.1299 x6
3 Sr 0.0000 0.0000 0.3806 x6
4 Hg 0.0000 0.0000 0.5000 x3
5 Pb 0.0000 0.0000 0.2548 x6

## Properties
ΔE_f: -500 meV per atom

# 6
The following is a DFT calculation (GGA-PBE) of a relaxed structure of CaMgNCl.

Cell: 3.6920 3.6920 38.9400 Å, 90.00 90.00 120.00°
Space group R-3m (No. 166, hexagonal axes)
Unique sites:
1 Ca 0.0000 0.0000 0.0774 x6
2 Mg 0.0000 0.0000 0.3120 x6
3 N 0.0000 0.0000 0.3692 x6
4 Cl 0.0000 0.0000 0.2146 x6

## Properties
Formation energy from raw total energies: -1330 meV per atom

# 7
The following is a DFT calculation (GGA-PBE) of a relaxed structure of TlGaSn4.

Cell: 8.378 12.921 3.463 Å, 90.00 114.31 90.00°
Space group C2/m (No. 12)
Unique sites:
1 Tl 0.000 0.000 0.000 x2
2 Ga 0.000 0.500 0.500 x2
3 Sn 0.206 0.350 0.203 x8

## Properties
Excess energy over the best structure of this formula in the dataset: 31.2 meV per atom
ΔE_f: 88 meV per atom

# 8
The following is a DFT calculation (GGA-PBE) of a relaxed structure of MgSbSN2.

Cell: 4.120 4.120 4.973 Å, 90.00 90.00 90.00°
Space group P4/mmm (No. 123)
Unique sites:
1 Mg 0.000 0.000 0.000 x1
2 Sb 0.500 0.500 0.500 x1
3 S 0.000 0.000 0.500 x1
4 N 0.000 0.500 0.000 x2

## Properties
Excess energy over the best structure of this formula in the dataset: 391.1 meV per atom
Formation energy from raw total energies: 1091 meV per atom

# 9
The following is a DFT calculation (GGA-PBE) of a relaxed structure of Ce6Ga2Ag.

Cell: 8.8793 8.8793 2.9489 Å, 90.00 90.00 120.00°
Space group P6/mmm (No. 191)
Unique sites:
1 Ce 0.0000 0.3397 0.0000 x6
2 Ga 0.3333 0.6667 0.5000 x2
3 Ag 0.0000 0.0000 0.5000 x1

## Properties
ΔE_f: -190 meV per atom

# 10
The following is a DFT calculation (GGA-PBE) of a relaxed structure of Dy3YEr3.

Cell: 9.7413 9.7413 8.2621 Å, 90.00 90.00 120.00°
Space group R3m (No. 160, hexagonal axes)
Unique sites:
1 Dy 0.2162 0.4324 0.0000 x9
2 Y 0.0000 0.0000 0.6279 x3
3 Er 0.2003 0.4006 0.5766 x9

## Properties
Excess energy over the best structure of this formula in the dataset: 126.5 meV per atom
ΔE_f: 272 meV per atom

# 11
The following is a DFT calculation (GGA-PBE) of a relaxed structure of PrGa6Rh4.

Cell: 7.4154 7.4154 3.9108 Å, 90.00 90.00 120.00°
Space group P-6m2 (No. 187)
Unique sites:
1 Pr 0.0000 0.0000 0.0000 x1
2 Ga 0.1953 0.3906 0.5000 x3
3 Ga 0.5331 0.0661 0.0000 x3
4 Rh 0.3333 0.6667 0.0000 x1
5 Rh 0.4077 0.2039 0.5000 x3

## Properties
ΔE_f: -635 meV per atom

# 12
The following is a DFT calculation (GGA-PBE) of a relaxed structure of AlCdIr2.

Cell: 3.909 3.909 8.251 Å, 90.00 90.00 90.00°
Space group I-4m2 (No. 119)
Unique sites:
1 Al 0.000 0.000 0.000 x2
2 Cd 0.000 0.500 0.750 x2
3 Ir 0.000 0.000 0.500 x2
4 Ir 0.000 0.500 0.250 x2

## Properties
ΔE_f: -9 meV per atom